Here is a geometry-optimized U6BiSe12 structure from Alexandria via LeMat-Bulk. Energies are from PBE.

Computed properties:
Its calculated volume is 28.85 A^3/atom. For the size of the total moment, the calculation gives 45.00 Bohr magnetons per cell. For the energy, the calculation gives -6.951 eV per atom.

Lattice parameters (Å, degrees): 12.8032 12.8032 11.5838 90.00 90.00 120.00
Space group R-3 (No. 148, hexagonal axes)
Asymmetric unit:
U 0.0458 0.2670 0.1442
Bi 0.0000 0.0000 0.5000
Se 0.0338 0.2147 0.8915
Se 0.0529 0.2193 0.3872